Compound: HfPdI3
Source: Alexandria via LeMat-Bulk
Functional: PBE-GGA
Structure: optimized geometry

Output
N(E_F), states/eV/f.u.: 2.388
Formation energy (no corrections), eV per atom: 0.1619
E_tot, eV/atom: -3.80
Energy above the lowest structure with this stoichiometry, meV per atom: 0

a = 5.635 Å, b = 5.635 Å, c = 5.635 Å
α = 90.00°, β = 90.00°, γ = 90.00°
Space group Pm-3m (No. 221)
Symmetry-distinct sites (fractional):
Hf1 0.000 0.000 0.000
Pd1 0.500 0.500 0.500
I1 0.000 0.000 0.500